Entry from Alexandria: a geometry-optimized KLi2Te structure (PBE).

Lattice parameters (Å, degrees): 8.049 4.646 7.481 90.00 111.06 90.00
Space group Cm (No. 8)
Inequivalent atoms, fractional coordinates:
K: 0.000 0.000 0.000 (multiplicity 2)
Li: 0.199 0.000 0.597 (multiplicity 2)
Li: 0.459 0.000 0.380 (multiplicity 2)
Te: 0.314 0.500 0.443 (multiplicity 2)

The spin magnetization is 0.1720 μB per atom. Its formation energy from raw total energies is -642.9 meV/atom.

---

Entry from Alexandria: a geometry-optimized LaZrCu2Sb structure (PBE).

Lattice parameters (Å, degrees): 4.897 4.897 5.892 90.00 90.00 90.00
Space group P4/mmm (No. 123)
Inequivalent atoms, fractional coordinates:
La: 0.000 0.000 0.000 (multiplicity 1)
Zr: 0.000 0.000 0.500 (multiplicity 1)
Cu: 0.000 0.500 0.500 (multiplicity 2)
Sb: 0.500 0.500 0.000 (multiplicity 1)

The spin magnetization is 0.0664 μB per atom. Its formation energy from raw total energies is 767.0 meV/atom.

---

Entry from Alexandria: a geometry-optimized SmHoPt2 structure (PBE).

Lattice parameters (Å, degrees): 4.0960 4.0960 20.1243 90.00 90.00 120.00
Space group R-3m (No. 166, hexagonal axes)
Inequivalent atoms, fractional coordinates:
Sm: 0.0000 0.0000 0.0000 (multiplicity 3)
Ho: 0.0000 0.0000 0.5000 (multiplicity 3)
Pt: 0.0000 0.0000 0.2468 (multiplicity 6)

The spin magnetization is 0.0000 μB per atom. The value obtained for the formation energy is -1.112 eV per atom.

---

Entry from Alexandria: a geometry-optimized Pm3ErS structure (PBE).

Lattice parameters (Å, degrees): 5.442 5.442 5.442 90.00 90.00 90.00
Space group Pm-3m (No. 221)
Inequivalent atoms, fractional coordinates:
Pm: 0.000 0.000 0.500 (multiplicity 3)
Er: 0.500 0.500 0.500 (multiplicity 1)
S: 0.000 0.000 0.000 (multiplicity 1)

The spin magnetization is 0.0002 μB per atom. Its formation energy from raw total energies is -665.8 meV/atom.

---

Entry from Alexandria: a geometry-optimized NbVCo4 structure (PBE).

Lattice parameters (Å, degrees): 6.636 6.636 6.636 90.00 90.00 90.00
Space group F-43m (No. 216)
Inequivalent atoms, fractional coordinates:
Nb: 0.000 0.000 0.000 (multiplicity 4)
V: 0.250 0.250 0.250 (multiplicity 4)
Co: 0.124 0.124 0.624 (multiplicity 16)

The spin magnetization is 0.4042 μB per atom. The value obtained for the formation energy is -0.095 eV per atom.

---

Entry from Alexandria: a geometry-optimized NbHgI2O structure (PBE).

Lattice parameters (Å, degrees): 5.966 5.966 4.013 90.00 90.00 90.00
Space group P4/mmm (No. 123)
Inequivalent atoms, fractional coordinates:
Nb: 0.000 0.000 0.000 (multiplicity 1)
Hg: 0.500 0.500 0.500 (multiplicity 1)
I: 0.000 0.500 0.500 (multiplicity 2)
O: 0.500 0.500 0.000 (multiplicity 1)

The spin magnetization is 0.6172 μB per atom. Its formation energy from raw total energies is 709.2 meV/atom.

---

Entry from Alexandria: a geometry-optimized Ga3SiC structure (PBE).

Lattice parameters (Å, degrees): 4.768 4.768 4.768 90.00 90.00 90.00
Space group Pm-3m (No. 221)
Inequivalent atoms, fractional coordinates:
Ga: 0.000 0.000 0.500 (multiplicity 3)
Si: 0.000 0.000 0.000 (multiplicity 1)
C: 0.500 0.500 0.500 (multiplicity 1)

The spin magnetization is 0.2557 μB per atom. Its formation energy from raw total energies is 1562.8 meV/atom.

---

Entry from Alexandria: a geometry-optimized Ho2Er3Tm6Sc structure (PBE).

Lattice parameters (Å, degrees): 6.029 10.429 11.542 90.00 100.00 90.00
Space group C2/m (No. 12)
Inequivalent atoms, fractional coordinates:
Ho: 0.000 0.167 0.000 (multiplicity 4)
Er: 0.000 0.000 0.500 (multiplicity 2)
Er: 0.000 0.334 0.500 (multiplicity 4)
Tm: 0.248 0.334 0.248 (multiplicity 8)
Tm: 0.249 0.500 0.752 (multiplicity 4)
Sc: 0.000 0.500 0.000 (multiplicity 2)

The spin magnetization is 0.0000 μB per atom. The value obtained for the formation energy is 0.032 eV per atom.

---

Entry from Alexandria: a geometry-optimized CsZn2Sb2 structure (PBE).

Lattice parameters (Å, degrees): 6.450 6.593 7.858 90.00 110.40 90.00
Space group C2/m (No. 12)
Inequivalent atoms, fractional coordinates:
Cs: 0.000 0.000 0.000 (multiplicity 2)
Zn: 0.000 0.204 0.500 (multiplicity 4)
Sb: 0.109 0.500 0.303 (multiplicity 4)

The spin magnetization is 0.0000 μB per atom. Its formation energy from raw total energies is -231.0 meV/atom.

---

Entry from Alexandria: a geometry-optimized Ba3PmPb2O6 structure (PBE).

Lattice parameters (Å, degrees): 6.3347 6.3347 7.2153 90.00 90.00 120.00
Space group P-3m1 (No. 164)
Inequivalent atoms, fractional coordinates:
Ba: 0.0000 0.0000 0.0000 (multiplicity 1)
Ba: 0.3333 0.6667 0.6132 (multiplicity 2)
Pm: 0.0000 0.0000 0.5000 (multiplicity 1)
Pb: 0.3333 0.6667 0.1235 (multiplicity 2)
O: 0.1717 0.3434 0.3118 (multiplicity 6)

The spin magnetization is 0.0148 μB per atom. Its formation energy from raw total energies is -2166.8 meV/atom.

---

Entry from Alexandria: a geometry-optimized Ti2Ir2Pt structure (PBE).

Lattice parameters (Å, degrees): 7.307 7.307 2.940 90.00 90.00 90.00
Space group P4/mbm (No. 127)
Inequivalent atoms, fractional coordinates:
Ti: 0.164 0.336 0.000 (multiplicity 4)
Ir: 0.135 0.635 0.500 (multiplicity 4)
Pt: 0.000 0.000 0.500 (multiplicity 2)

The spin magnetization is 0.0000 μB per atom. The value obtained for the formation energy is -0.725 eV per atom.

---

Entry from Alexandria: a geometry-optimized CsCd3Rh structure (PBE).

Lattice parameters (Å, degrees): 4.5566 4.5566 22.0743 90.00 90.00 120.00
Space group P6_3/mmc (No. 194)
Inequivalent atoms, fractional coordinates:
Cs: 0.0000 0.0000 0.0000 (multiplicity 2)
Cd: 0.0000 0.0000 0.2500 (multiplicity 2)
Cd: 0.3333 0.6667 0.1313 (multiplicity 4)
Rh: 0.3333 0.6667 0.2500 (multiplicity 2)

The spin magnetization is 0.0000 μB per atom. The value obtained for the formation energy is 0.325 eV per atom.

---

- Which of these has the highest spin magnetization?
  NbHgI2O